No. 1
Here is an optimized crystal structure of RbCd2CuRh from Alexandria via LeMat-Bulk. Energies are from PBE.

Structure (POSCAR):
```
RbCd2CuRh
1.0
5.2624 0.0000 0.0000
0.0000 5.2624 0.0000
0.0000 0.0000 4.9880
Rb Cd Cu Rh
1 2 1 1
direct
0.0000 0.0000 0.0000
0.0000 0.5000 0.5000
0.5000 0.0000 0.5000
0.5000 0.5000 0.0000
0.5000 0.5000 0.5000
```

Computed properties:
Total moment (μB/cell): 0.0
DOS(E_F) (states/eV per cell): 1.9
ΔH_f (0 K) (eV/f.u.): 0.78
Crystal system: tetragonal



No. 2
Here is an optimized crystal structure of RbCd2CuRu from Alexandria via LeMat-Bulk. Energies are from PBE.

Structure (POSCAR):
```
RbCd2CuRu
1.0
6.2087 0.0000 0.0000
0.0000 6.2087 0.0000
0.0000 0.0000 5.0986
Rb Cd Cu Ru
1 2 1 1
direct
0.0000 0.0000 0.0000
0.0000 0.5000 0.0000
0.5000 0.0000 0.0000
0.5000 0.5000 0.5000
0.0000 0.0000 0.5000
```

Computed properties:
Total moment (μB/cell): 1.9
DOS(E_F) (states/eV per cell): 8.0
ΔH_f (0 K) (eV/f.u.): 9.88
Crystal system: tetragonal



No. 3
Here is an optimized crystal structure of RbCdCuSe2 from Alexandria via LeMat-Bulk. Energies are from PBE.

Structure (POSCAR):
```
RbCdCuSe2
1.0
7.6101 0.0000 0.0000
0.0000 5.7289 0.0000
-2.0706 0.0000 6.9732
Rb Cd Cu Se
2 2 2 4
direct
0.0000 0.2275 0.2500
0.0000 0.7725 0.7500
0.5000 0.4986 0.7500
0.5000 0.5014 0.2500
0.5000 0.0000 0.0000
0.5000 0.0000 0.5000
0.2784 0.2787 0.9347
0.2784 0.7213 0.4347
0.7216 0.2787 0.5653
0.7216 0.7213 0.0653
```

Computed properties:
Total moment (μB/cell): 0.0
Total DFT energy (no corrections) (eV/atom): -3.263
DOS(E_F) (states/eV per cell): 0.0
Crystal system: monoclinic



No. 4
Here is an optimized crystal structure of Rb2CdCuSe from Alexandria via LeMat-Bulk. Energies are from PBE.

Structure (POSCAR):
```
Rb2CdCuSe
1.0
6.6917 0.0000 0.0000
0.0000 6.6917 0.0000
0.0000 0.0000 4.5364
Rb Cd Cu Se
2 1 1 1
direct
0.0000 0.5000 0.0000
0.5000 0.0000 0.0000
0.0000 0.0000 0.5000
0.5000 0.5000 0.0000
0.5000 0.5000 0.5000
```

Computed properties:
Total moment (μB/cell): 0.0
Total DFT energy (no corrections) (eV/atom): -2.314
DOS(E_F) (states/eV per cell): 2.3
Crystal system: tetragonal



No. 5
Here is an optimized crystal structure of RbCd2CuSi from Alexandria via LeMat-Bulk. Energies are from PBE.

Structure (POSCAR):
```
RbCd2CuSi
1.0
5.0776 0.0000 0.0000
0.0000 5.0776 0.0000
0.0000 0.0000 5.8540
Rb Cd Cu Si
1 2 1 1
direct
0.0000 0.0000 0.0000
0.0000 0.5000 0.5000
0.5000 0.0000 0.5000
0.0000 0.0000 0.5000
0.5000 0.5000 0.0000
```

Computed properties:
Total moment (μB/cell): 1.0
Total DFT energy (no corrections) (eV/atom): -1.798
DOS(E_F) (states/eV per cell): 3.5
Crystal system: tetragonal



No. 6
Here is an optimized crystal structure of RbCdCuTe2 from Alexandria via LeMat-Bulk. Energies are from PBE.

Structure (POSCAR):
```
RbCdCuTe2
1.0
8.2776 0.0000 0.0000
0.0000 6.5373 0.0000
-2.7435 0.0000 6.5191
Rb Cd Cu Te
2 2 2 4
direct
0.0000 0.2413 0.2500
0.0000 0.7587 0.7500
0.5000 0.4964 0.2500
0.5000 0.5036 0.7500
0.5000 0.0000 0.0000
0.5000 0.0000 0.5000
0.2730 0.2652 0.8948
0.2730 0.7348 0.3948
0.7270 0.2652 0.6052
0.7270 0.7348 0.1052
```

Computed properties:
Total moment (μB/cell): 0.0
Total DFT energy (no corrections) (eV/atom): -2.950
DOS(E_F) (states/eV per cell): 0.0
Crystal system: monoclinic



No. 7
Here is an optimized crystal structure of RbTlCd2Cu from Alexandria via LeMat-Bulk. Energies are from PBE.

Structure (POSCAR):
```
RbTlCd2Cu
1.0
5.2680 0.0000 0.0000
0.0000 5.2680 0.0000
0.0000 0.0000 5.3943
Rb Tl Cd Cu
1 1 2 1
direct
0.0000 0.0000 0.0000
0.5000 0.5000 0.0000
0.0000 0.5000 0.5000
0.5000 0.0000 0.5000
0.5000 0.5000 0.5000
```

Computed properties:
Total moment (μB/cell): 0.0
DOS(E_F) (states/eV per cell): 2.8
ΔH_f (0 K) (eV/f.u.): 0.32
Crystal system: tetragonal



No. 8
Here is an optimized crystal structure of RbZnCdCu2 from Alexandria via LeMat-Bulk. Energies are from PBE.

Structure (POSCAR):
```
RbZnCdCu2
1.0
4.9315 0.0000 0.0000
0.0000 4.9315 0.0000
0.0000 0.0000 5.1474
Rb Zn Cd Cu
1 1 1 2
direct
0.0000 0.0000 0.0000
0.5000 0.5000 0.5000
0.5000 0.5000 0.0000
0.0000 0.5000 0.5000
0.5000 0.0000 0.5000
```

Computed properties:
Total moment (μB/cell): 0.0
DOS(E_F) (states/eV per cell): 1.8
ΔH_f (0 K) (eV/f.u.): 1.75
Crystal system: tetragonal



No. 9
Here is an optimized crystal structure of Rb2ZrCdCu from Alexandria via LeMat-Bulk. Energies are from PBE.

Structure (POSCAR):
```
Rb2ZrCdCu
1.0
6.8716 0.0000 0.0000
0.0000 6.8716 0.0000
0.0000 0.0000 4.9442
Rb Zr Cd Cu
2 1 1 1
direct
0.0000 0.5000 0.0000
0.5000 0.0000 0.0000
0.0000 0.0000 0.5000
0.5000 0.5000 0.0000
0.5000 0.5000 0.5000
```

Computed properties:
Total moment (μB/cell): 3.2
DOS(E_F) (states/eV per cell): 7.5
ΔH_f (0 K) (eV/f.u.): 5.59
Crystal system: tetragonal



No. 10
Here is an optimized crystal structure of CdCuRe3 from Alexandria via LeMat-Bulk. Energies are from PBE.

Structure (POSCAR):
```
CdCuRe3
1.0
4.7910 0.0000 0.0000
0.0000 4.7910 0.0000
0.0000 0.0000 4.7910
Cd Cu Re
1 1 3
direct
0.0000 0.0000 0.0000
0.5000 0.5000 0.5000
0.0000 0.0000 0.5000
0.0000 0.5000 0.0000
0.5000 0.0000 0.0000
```

Computed properties:
Total moment (μB/cell): 0.0
E above lowest polymorph (meV per atom): 1429
DOS(E_F) (states/eV per cell): 7.6
ΔH_f (0 K) (eV/f.u.): 17.06
Crystal system: cubic



No. 11
Here is an optimized crystal structure of CdCuRe3 from Alexandria via LeMat-Bulk. Energies are from PBE.

Structure (POSCAR):
```
CdCuRe3
1.0
4.4966 0.0000 0.0000
0.0000 4.4966 0.0000
0.0000 0.0000 4.4966
Cd Cu Re
1 1 3
direct
0.0000 0.0000 0.0000
0.5000 0.5000 0.5000
0.0000 0.5000 0.5000
0.5000 0.0000 0.5000
0.5000 0.5000 0.0000
```

Computed properties:
Total moment (μB/cell): 0.0
E above lowest polymorph (meV per atom): 0
DOS(E_F) (states/eV per cell): 7.6
ΔH_f (0 K) (eV/f.u.): 9.92
Crystal system: cubic



No. 12
Here is an optimized crystal structure of Cd3CuRe from Alexandria via LeMat-Bulk. Energies are from PBE.

Structure (POSCAR):
```
Cd3CuRe
1.0
5.2893 0.0000 0.0000
0.0000 5.2893 0.0000
0.0000 0.0000 5.2893
Cd Cu Re
3 1 1
direct
0.0000 0.0000 0.5000
0.0000 0.5000 0.0000
0.5000 0.0000 0.0000
0.5000 0.5000 0.5000
0.0000 0.0000 0.0000
```

Computed properties:
Total moment (μB/cell): 2.0
E above lowest polymorph (meV per atom): 139
DOS(E_F) (states/eV per cell): 5.0
ΔH_f (0 K) (eV/f.u.): 6.89
Crystal system: cubic



No. 13
Here is an optimized crystal structure of Cd3CuRe from Alexandria via LeMat-Bulk. Energies are from PBE.

Structure (POSCAR):
```
Cd3CuRe
1.0
4.8042 0.0000 0.0000
0.0000 4.8042 0.0000
0.0000 0.0000 4.8042
Cd Cu Re
3 1 1
direct
0.0000 0.0000 0.5000
0.0000 0.5000 0.0000
0.5000 0.0000 0.0000
0.0000 0.0000 0.0000
0.5000 0.5000 0.5000
```

Computed properties:
Total moment (μB/cell): 3.1
E above lowest polymorph (meV per atom): 0
DOS(E_F) (states/eV per cell): 2.9
ΔH_f (0 K) (eV/f.u.): 6.19
Crystal system: cubic



No. 14
Here is an optimized crystal structure of CdCu4Re from Alexandria via LeMat-Bulk. Energies are from PBE.

Structure (POSCAR):
```
CdCu4Re
1.0
0.0000 3.4548 3.4548
3.4548 0.0000 3.4548
3.4548 3.4548 0.0000
Cd Cu Re
1 4 1
direct
0.0000 0.0000 0.0000
0.1267 0.6244 0.6244
0.6244 0.1267 0.6244
0.6244 0.6244 0.1267
0.6244 0.6244 0.6244
0.2500 0.2500 0.2500
```

Computed properties:
Total moment (μB/cell): 1.7
DOS(E_F) (states/eV per cell): 4.3
ΔH_f (0 K) (eV/f.u.): 2.44
Crystal system: cubic



No. 15
Here is an optimized crystal structure of CdCuReRh2 from Alexandria via LeMat-Bulk. Energies are from PBE.

Structure (POSCAR):
```
CdCuReRh2
1.0
4.6891 0.0000 0.0000
0.0000 4.6891 0.0000
0.0000 0.0000 4.7479
Cd Cu Re Rh
1 1 1 2
direct
0.0000 0.0000 0.0000
0.5000 0.5000 0.0000
0.5000 0.5000 0.5000
0.0000 0.5000 0.5000
0.5000 0.0000 0.5000
```

Computed properties:
Total moment (μB/cell): 0.0
DOS(E_F) (states/eV per cell): 4.3
ΔH_f (0 K) (eV/f.u.): 5.42
Crystal system: tetragonal



No. 16
Here is an optimized crystal structure of SrCd2CuRe from Alexandria via LeMat-Bulk. Energies are from PBE.

Structure (POSCAR):
```
SrCd2CuRe
1.0
6.1270 0.0000 0.0000
0.0000 6.1270 0.0000
0.0000 0.0000 5.3539
Sr Cd Cu Re
1 2 1 1
direct
0.0000 0.0000 0.0000
0.0000 0.5000 0.0000
0.5000 0.0000 0.0000
0.0000 0.0000 0.5000
0.5000 0.5000 0.5000
```

Computed properties:
Total moment (μB/cell): 4.4
DOS(E_F) (states/eV per cell): 3.9
ΔH_f (0 K) (eV/f.u.): 9.95
Crystal system: tetragonal



No. 17
Here is an optimized crystal structure of CdCu2Rh from Alexandria via LeMat-Bulk. Energies are from PBE.

Structure (POSCAR):
```
CdCu2Rh
1.0
0.0000 3.0861 3.0861
3.0861 0.0000 3.0861
3.0861 3.0861 0.0000
Cd Cu Rh
1 2 1
direct
0.0000 0.0000 0.0000
0.5000 0.5000 0.5000
0.7500 0.7500 0.7500
0.2500 0.2500 0.2500
```

Computed properties:
Total moment (μB/cell): 0.0
DOS(E_F) (states/eV per cell): 1.5
ΔH_f (0 K) (eV/f.u.): 0.19
Crystal system: cubic



No. 18
Here is an optimized crystal structure of CdCu3Rh from Alexandria via LeMat-Bulk. Energies are from PBE.

Structure (POSCAR):
```
CdCu3Rh
1.0
4.6418 0.0000 0.0000
0.0000 4.6418 0.0000
0.0000 0.0000 4.6418
Cd Cu Rh
1 3 1
direct
0.0000 0.0000 0.0000
0.0000 0.5000 0.5000
0.5000 0.0000 0.5000
0.5000 0.5000 0.0000
0.5000 0.5000 0.5000
```

Computed properties:
Total moment (μB/cell): 0.0
E above lowest polymorph (meV per atom): 0
DOS(E_F) (states/eV per cell): 4.9
ΔH_f (0 K) (eV/f.u.): 4.33
Crystal system: cubic



No. 19
Here is an optimized crystal structure of CdCuRh2 from Alexandria via LeMat-Bulk. Energies are from PBE.

Structure (POSCAR):
```
CdCuRh2
1.0
2.7130 -4.6241 0.0000
2.7130 4.6241 0.0000
-1.2914 0.0000 2.4344
Cd Cu Rh
1 1 2
direct
0.0000 0.0000 0.0000
0.5000 0.5000 0.0000
0.0000 0.5000 0.5000
0.5000 0.0000 0.5000
```

Computed properties:
Total moment (μB/cell): 0.0
DOS(E_F) (states/eV per cell): 4.7
ΔH_f (0 K) (eV/f.u.): 0.49
Crystal system: monoclinic



No. 20
Here is an optimized crystal structure of CdCuRh2 from Alexandria via LeMat-Bulk. Energies are from PBE.

Structure (POSCAR):
```
CdCuRh2
1.0
3.9415 0.0000 0.0000
0.0000 3.9415 0.0000
0.0000 0.0000 3.9186
Cd Cu Rh
1 1 2
direct
0.0000 0.0000 0.0000
0.5000 0.5000 0.0000
0.0000 0.5000 0.5000
0.5000 0.0000 0.5000
```

Computed properties:
Total moment (μB/cell): 1.0
DOS(E_F) (states/eV per cell): 5.9
ΔH_f (0 K) (eV/f.u.): 0.46
Crystal system: tetragonal



No. 21
Here is an optimized crystal structure of CdCuRh2 from Alexandria via LeMat-Bulk. Energies are from PBE.

Structure (POSCAR):
```
CdCuRh2
1.0
4.5633 -1.4022 0.0000
4.5633 1.4022 0.0000
-0.9660 0.0000 4.7117
Cd Cu Rh
1 1 2
direct
0.0000 0.0000 0.0000
0.5000 0.5000 0.5000
0.2421 0.2421 0.7311
0.7579 0.7579 0.2689
```

Computed properties:
Total moment (μB/cell): 0.0
DOS(E_F) (states/eV per cell): 4.7
ΔH_f (0 K) (eV/f.u.): 0.11
Crystal system: monoclinic



No. 22
Here is an optimized crystal structure of CdCuRh2 from Alexandria via LeMat-Bulk. Energies are from PBE.

Structure (POSCAR):
```
CdCuRh2
1.0
-1.9714 1.9714 3.9123
1.9714 -1.9714 3.9123
1.9714 1.9714 -3.9123
Cd Cu Rh
1 1 2
direct
0.0000 0.0000 0.0000
0.5000 0.5000 0.0000
0.2500 0.7500 0.5000
0.7500 0.2500 0.5000
```

Computed properties:
Total moment (μB/cell): 0.8
DOS(E_F) (states/eV per cell): 6.9
ΔH_f (0 K) (eV/f.u.): 0.47
Crystal system: tetragonal



No. 23
Here is an optimized crystal structure of CdCuRh2 from Alexandria via LeMat-Bulk. Energies are from PBE.

Structure (POSCAR):
```
CdCuRh2
1.0
2.8172 0.0000 0.0000
0.0000 3.7632 0.0000
-0.0362 0.0000 5.7540
Cd Cu Rh
1 1 2
direct
0.0000 0.0000 0.0000
0.4997 0.5000 0.2592
0.4994 0.5000 0.7131
0.9972 0.0000 0.4935
```

Computed properties:
Total moment (μB/cell): 0.0
DOS(E_F) (states/eV per cell): 5.8
ΔH_f (0 K) (eV/f.u.): 0.20
Crystal system: monoclinic



No. 24
Here is an optimized crystal structure of CdCuRh2 from Alexandria via LeMat-Bulk. Energies are from PBE.

Structure (POSCAR):
```
CdCuRh2
1.0
1.4116 0.8150 8.7865
-1.4116 0.8150 8.7865
0.0000 -1.6300 8.7865
Cd Cu Rh
1 1 2
direct
0.0000 0.0000 0.0000
0.5000 0.5000 0.5000
0.2444 0.2444 0.2444
0.7556 0.7556 0.7556
```

Computed properties:
Total moment (μB/cell): 1.0
DOS(E_F) (states/eV per cell): 4.9
ΔH_f (0 K) (eV/f.u.): 0.39
Crystal system: trigonal



No. 25
Here is an optimized crystal structure of CdCuRh2 from Alexandria via LeMat-Bulk. Energies are from PBE.

Structure (POSCAR):
```
CdCuRh2
1.0
3.0506 0.0000 0.0000
0.0000 3.0506 0.0000
0.0000 0.0000 6.5192
Cd Cu Rh
1 1 2
direct
0.0000 0.0000 0.0000
0.0000 0.0000 0.5000
0.5000 0.5000 0.2828
0.5000 0.5000 0.7172
```

Computed properties:
Total moment (μB/cell): 1.0
DOS(E_F) (states/eV per cell): 6.6
ΔH_f (0 K) (eV/f.u.): 0.28
Crystal system: tetragonal



No. 26
Here is an optimized crystal structure of CdCu2Rh from Alexandria via LeMat-Bulk. Energies are from PBE.

Structure (POSCAR):
```
CdCu2Rh
1.0
-1.9722 1.9722 3.7674
1.9722 -1.9722 3.7674
1.9722 1.9722 -3.7674
Cd Cu Rh
1 2 1
direct
0.0000 0.0000 0.0000
0.2500 0.7500 0.5000
0.5000 0.5000 0.0000
0.7500 0.2500 0.5000
```

Computed properties:
Total moment (μB/cell): 0.0
DOS(E_F) (states/eV per cell): 2.1
ΔH_f (0 K) (eV/f.u.): 0.11
Crystal system: tetragonal



No. 27
Here is an optimized crystal structure of Cd4CuRh3 from Alexandria via LeMat-Bulk. Energies are from PBE.

Structure (POSCAR):
```
Cd4CuRh3
1.0
-2.2819 2.2819 6.4524
2.2819 -2.2819 6.4524
2.2819 2.2819 -6.4524
Cd Cu Rh
4 1 3
direct
0.1249 0.6249 0.5000
0.3751 0.8751 0.5000
0.6249 0.1249 0.5000
0.8751 0.3751 0.5000
0.0000 0.0000 0.0000
0.2500 0.2500 0.0000
0.5000 0.5000 0.0000
0.7500 0.7500 0.0000
```

Computed properties:
Total moment (μB/cell): 0.0
DOS(E_F) (states/eV per cell): 2.4
ΔH_f (0 K) (eV/f.u.): -0.64
Crystal system: tetragonal



No. 28
Here is an optimized crystal structure of Cd2Cu2Rh from Alexandria via LeMat-Bulk. Energies are from PBE.

Structure (POSCAR):
```
Cd2Cu2Rh
1.0
6.5713 0.0000 0.0000
0.0000 6.5713 0.0000
0.0000 0.0000 3.7961
Cd Cu Rh
4 4 2
direct
0.1780 0.3220 0.0000
0.3220 0.8220 0.0000
0.6780 0.1780 0.0000
0.8220 0.6780 0.0000
0.1271 0.6271 0.5000
0.3729 0.1271 0.5000
0.6271 0.8729 0.5000
0.8729 0.3729 0.5000
0.0000 0.0000 0.5000
0.5000 0.5000 0.5000
```

Computed properties:
Total moment (μB/cell): 0.0
DOS(E_F) (states/eV per cell): 6.8
ΔH_f (0 K) (eV/f.u.): 0.55
Crystal system: tetragonal